Below is a relaxed NaCe2MoO8 crystal, with properties calculated at the GGA+U level.

a = 5.018 Å, b = 5.016 Å, c = 7.107 Å
α = 89.99°, β = 89.99°, γ = 90.99°
Last column: magnetic moment on the atom in μB.
Element x y z (fractional)
O (0.717, 0.717, 0.000)  0.14
O (0.680, 0.682, 0.500)  0.05
Ce (0.500, 0.500, 0.257)  -0.02
O (0.283, 0.283, 0.000)  0.14
Mo (0.000, 0.000, 0.000)  -0.13
O (0.320, 0.318, 0.500)  0.05
O (0.186, 0.814, 0.804)  0.15
O (0.814, 0.186, 0.804)  0.15
Ce (0.500, 0.500, 0.743)  -0.02
O (0.814, 0.186, 0.196)  0.15
Na (0.000, 0.000, 0.500)  0.00
O (0.186, 0.814, 0.196)  0.15

Computed properties:
- V (Å³ per atom) = 14.9
- VASP energy (eV/atom) = -7.297
- density of states at the Fermi level (states/eV/cell) = 7.19